A relaxed structure of NaH3Pd2, computed with GGA-PBE. Values from VASP.

Computed properties:
D(E_F): 1.0 states/eV/f.u.
Symmetry: C2/c (15)
V: 10.896 Å³/atom
Raw total energy: -3.8010 eV per atom

The structure in Quantum ESPRESSO input format:
```
&SYSTEM
  ibrav = 0, nat = 12, ntyp = 3
/
ATOMIC_SPECIES
Pd 106.42 Pd.upf
H 1.01 H.upf
Na 22.99 Na.upf
CELL_PARAMETERS angstrom
-4.7961 -1.4553 2.6503
0.3616 -4.5861 4.2003
-0.6063 0.6735 5.3370
ATOMIC_POSITIONS crystal
Pd 0.5902 0.6873 0.4810
Pd 0.7415 0.1872 0.9810
Pd 0.2585 0.8127 0.0190
Pd 0.4098 0.3127 0.5190
H 0.5000 0.0000 0.5000
H 0.1096 0.1798 0.8682
H 0.8904 0.8202 0.1318
H 0.5000 0.5000 0.0000
H 0.3424 0.6798 0.3682
H 0.6576 0.3202 0.6318
Na 0.1200 0.2500 0.2500
Na 0.8800 0.7500 0.7500
```